Record 1
Below is an optimized crystal structure of Ac12Ga5O3, with properties calculated at the GGA-PBE level.

```
data_Ac12Ga5O3
_space_group_name_H-M_alt 'I a -3 d'
_space_group_IT_number 230
_space_group_name_Hall '-I 4bd 2c 3'
_cell_length_a 17.810
_cell_length_b 17.810
_cell_length_c 17.810
_cell_angle_alpha 90.00
_cell_angle_beta 90.00
_cell_angle_gamma 90.00
loop_
_atom_site_label
_atom_site_type_symbol
_atom_site_fract_x
_atom_site_fract_y
_atom_site_fract_z
Ac1 Ac 0.023 0.096 0.642
Ga1 Ga 0.000 0.000 0.000
Ga2 Ga 0.000 0.250 0.375
O1 O 0.000 0.250 0.125
```

## Properties
energy relative to the elements, uncorrected	-217	meV per atom
raw total energy	-4.1825	eV per atom
total moment	0.00	μB per atom

Record 2
Below is an optimized crystal structure of LaMnCd2, with properties calculated at the GGA-PBE level.

```
data_LaMnCd2
_space_group_name_H-M_alt 'I -4 2 d'
_space_group_IT_number 122
_space_group_name_Hall 'I -4 2bw'
_cell_length_a 4.312
_cell_length_b 4.312
_cell_length_c 22.409
_cell_angle_alpha 90.00
_cell_angle_beta 90.00
_cell_angle_gamma 90.00
loop_
_atom_site_label
_atom_site_type_symbol
_atom_site_fract_x
_atom_site_fract_y
_atom_site_fract_z
La1 La 0.000 0.000 0.000
Mn1 Mn 0.000 0.000 0.500
Cd1 Cd 0.218 0.250 0.625
```

## Properties
raw total energy	-3.6683	eV per atom
total moment	0.81	μB per atom
DFT formation energy	0.3135	eV/atom

Record 3
Below is an optimized crystal structure of Mn2CrP, with properties calculated at the GGA-PBE level.

```
data_Mn2CrP
_space_group_name_H-M_alt 'P 4 m m'
_space_group_IT_number 99
_space_group_name_Hall 'P 4 -2'
_cell_length_a 2.793
_cell_length_b 2.793
_cell_length_c 5.741
_cell_angle_alpha 90.00
_cell_angle_beta 90.00
_cell_angle_gamma 90.00
loop_
_atom_site_label
_atom_site_type_symbol
_atom_site_fract_x
_atom_site_fract_y
_atom_site_fract_z
Mn1 Mn 0.000 0.000 0.000
Mn2 Mn 0.500 0.500 0.267
Cr1 Cr 0.500 0.500 0.733
P1 P 0.000 0.000 0.494
```

## Properties
raw total energy	-8.4895	eV per atom
total moment	0.30	μB per atom
DFT formation energy	-0.1464	eV/atom

Record 4
Below is an optimized crystal structure of Li2Zr2ScPt5, with properties calculated at the GGA-PBE level.

```
data_Li2Zr2ScPt5
_space_group_name_H-M_alt 'P 4/m b m'
_space_group_IT_number 127
_space_group_name_Hall '-P 4 2ab'
_cell_length_a 9.366
_cell_length_b 9.366
_cell_length_c 3.650
_cell_angle_alpha 90.00
_cell_angle_beta 90.00
_cell_angle_gamma 90.00
loop_
_atom_site_label
_atom_site_type_symbol
_atom_site_fract_x
_atom_site_fract_y
_atom_site_fract_z
Li1 Li 0.121 0.379 0.000
Zr1 Zr 0.175 0.675 0.000
Sc1 Sc 0.000 0.000 0.000
Pt1 Pt 0.000 0.500 0.500
Pt2 Pt 0.072 0.209 0.500
```

## Properties
raw total energy	-6.6174	eV per atom
total moment	0.00	μB per atom
DFT formation energy	-0.8715	eV/atom

Record 5
Below is an optimized crystal structure of Tb4ZrAl15, with properties calculated at the GGA-PBE level.

```
data_Tb4ZrAl15
_space_group_name_H-M_alt 'R -3 m'
_space_group_IT_number 166
_space_group_name_Hall '-R 3 2"'
_cell_length_a 6.0449
_cell_length_b 6.0449
_cell_length_c 36.0544
_cell_angle_alpha 90.00
_cell_angle_beta 90.00
_cell_angle_gamma 120.00
loop_
_atom_site_label
_atom_site_type_symbol
_atom_site_fract_x
_atom_site_fract_y
_atom_site_fract_z
Tb1 Tb 0.0000 0.0000 0.1003
Tb2 Tb 0.0000 0.0000 0.3691
Zr1 Zr 0.0000 0.0000 0.5000
Al1 Al 0.0000 0.5000 0.5000
Al2 Al 0.0033 0.5017 0.3664
Al3 Al 0.0291 0.5146 0.8979
```

## Properties
raw total energy	-4.5774	eV per atom
total moment	0.00	μB per atom
DFT formation energy	-0.4170	eV/atom

Record 6
Below is an optimized crystal structure of NaLa2Au2, with properties calculated at the GGA-PBE level.

```
data_NaLa2Au2
_space_group_name_H-M_alt 'P 4/m b m'
_space_group_IT_number 127
_space_group_name_Hall '-P 4 2ab'
_cell_length_a 8.489
_cell_length_b 8.489
_cell_length_c 3.943
_cell_angle_alpha 90.00
_cell_angle_beta 90.00
_cell_angle_gamma 90.00
loop_
_atom_site_label
_atom_site_type_symbol
_atom_site_fract_x
_atom_site_fract_y
_atom_site_fract_z
Na1 Na 0.000 0.000 0.000
La1 La 0.159 0.341 0.500
Au1 Au 0.135 0.635 0.000
```

## Properties
raw total energy	-4.1727	eV per atom
E above lowest polymorph	0	kJ/mol of formula units
total moment	0.00	μB per atom
DFT formation energy	-0.6269	eV/atom